Density functional theory data (GGA-PBE) for a relaxed LiB3C3 crystal.

a b c (Å): 2.724 2.724 18.453
angles (deg): 90.00 90.00 120.00
Positions (direct):
Li 0.000 0.000 0.099
Li 0.000 0.000 0.901
B 0.333 0.667 0.195
B 0.333 0.667 0.500
B 0.333 0.667 0.805
B 0.667 0.333 0.000
B 0.667 0.333 0.379
B 0.667 0.333 0.621
C 0.333 0.667 0.000
C 0.333 0.667 0.378
C 0.333 0.667 0.622
C 0.667 0.333 0.191
C 0.667 0.333 0.500
C 0.667 0.333 0.809

**SG**: P-6m2, No. 187
**E_form**: 91 kJ/mol of formula units
**Energy above the most stable polymorph in this dataset**: 85 meV/atom
**Total energy**: -6.954 eV per atom

Density functional theory data (GGA-PBE) for a relaxed LiBC3 crystal.

a b c (Å): 3.424 3.424 3.424
angles (deg): 90.00 90.00 90.00
Positions (direct):
Li 0.000 0.000 0.000
B 0.500 0.500 0.500
C 0.000 0.500 0.500
C 0.500 0.000 0.500
C 0.500 0.500 0.000

**SG**: Pm-3m, No. 221
**E_form**: 997 kJ/mol of formula units
**Energy above the most stable polymorph in this dataset**: 0 meV/atom
**Total energy**: -5.186 eV per atom

Density functional theory data (GGA-PBE) for a relaxed LiB3C3 crystal.

a b c (Å): 7.192 7.192 7.100
angles (deg): 90.00 90.00 158.46
Positions (direct):
Li 0.000 0.000 0.000
Li 0.000 0.000 0.500
B 0.113 0.887 0.750
B 0.221 0.779 0.250
B 0.443 0.557 0.750
B 0.557 0.443 0.250
B 0.779 0.221 0.750
B 0.887 0.113 0.250
C 0.112 0.888 0.250
C 0.222 0.778 0.750
C 0.445 0.555 0.250
C 0.555 0.445 0.750
C 0.778 0.222 0.250
C 0.888 0.112 0.750

**SG**: Cmcm, No. 63
**E_form**: 101 kJ/mol of formula units
**Energy above the most stable polymorph in this dataset**: 101 meV/atom
**Total energy**: -6.938 eV per atom

Density functional theory data (GGA-PBE) for a relaxed LiB8C8 crystal.

a b c (Å): 8.638 8.638 9.371
angles (deg): 105.40 105.40 17.75
Positions (direct):
Li 0.000 0.000 0.000
B 0.113 0.113 0.888
B 0.131 0.131 0.397
B 0.370 0.370 0.352
B 0.386 0.386 0.860
B 0.614 0.614 0.140
B 0.630 0.630 0.648
B 0.869 0.869 0.603
B 0.887 0.887 0.112
C 0.119 0.119 0.227
C 0.125 0.125 0.730
C 0.366 0.366 0.516
C 0.393 0.393 0.028
C 0.607 0.607 0.972
C 0.634 0.634 0.484
C 0.875 0.875 0.270
C 0.881 0.881 0.773

**SG**: C2/m, No. 12
**E_form**: 676 kJ/mol of formula units
**Energy above the most stable polymorph in this dataset**: 232 meV/atom
**Total energy**: -7.183 eV per atom

Density functional theory data (GGA-PBE) for a relaxed Li4B5C3 crystal.

a b c (Å): 5.584 5.584 7.370
angles (deg): 90.00 90.00 120.00
Positions (direct):
Li 0.000 0.000 0.221
Li 0.000 0.000 0.779
Li 0.000 0.500 0.224
Li 0.000 0.500 0.776
Li 0.500 0.000 0.224
Li 0.500 0.000 0.776
Li 0.500 0.500 0.224
Li 0.500 0.500 0.776
B 0.167 0.333 0.000
B 0.167 0.833 0.000
B 0.333 0.167 0.000
B 0.333 0.667 0.000
B 0.333 0.667 0.500
B 0.667 0.333 0.000
B 0.667 0.333 0.500
B 0.667 0.833 0.000
B 0.833 0.167 0.000
B 0.833 0.667 0.000
C 0.160 0.320 0.500
C 0.160 0.840 0.500
C 0.320 0.160 0.500
C 0.680 0.840 0.500
C 0.840 0.160 0.500
C 0.840 0.680 0.500

**SG**: P6/mmm, No. 191
**E_form**: -19 kJ/mol of formula units
**Total energy**: -5.743 eV per atom

Density functional theory data (GGA-PBE) for a relaxed LiB6C crystal.

a b c (Å): 4.705 5.320 5.320
angles (deg): 115.84 90.00 90.00
Positions (direct):
Li 0.000 0.207 0.793
Li 0.000 0.793 0.207
B 0.194 0.223 0.419
B 0.194 0.419 0.223
B 0.317 0.063 0.063
B 0.317 0.577 0.577
B 0.500 0.313 0.651
B 0.500 0.327 0.988
B 0.500 0.651 0.313
B 0.500 0.988 0.327
B 0.683 0.063 0.063
B 0.683 0.577 0.577
B 0.806 0.223 0.419
B 0.806 0.419 0.223
C 0.146 0.819 0.819
C 0.854 0.819 0.819

**SG**: Amm2, No. 38
**E_form**: -189 kJ/mol of formula units
**Total energy**: -6.645 eV per atom

Density functional theory data (GGA-PBE) for a relaxed LiB3C3 crystal.

a b c (Å): 7.009 7.009 7.967
angles (deg): 123.31 123.31 22.23
Positions (direct):
Li 0.153 0.153 0.307
Li 0.847 0.847 0.693
B 0.154 0.154 0.012
B 0.185 0.185 0.646
B 0.488 0.488 0.680
B 0.512 0.512 0.320
B 0.815 0.815 0.354
B 0.846 0.846 0.988
C 0.045 0.045 0.791
C 0.294 0.294 0.869
C 0.369 0.369 0.470
C 0.631 0.631 0.530
C 0.706 0.706 0.131
C 0.955 0.955 0.209

**SG**: C2/m, No. 12
**E_form**: 101 kJ/mol of formula units
**Energy above the most stable polymorph in this dataset**: 100 meV/atom
**Total energy**: -6.939 eV per atom

Density functional theory data (GGA-PBE) for a relaxed Li2B6C3 crystal.

a b c (Å): 5.293 5.293 2.837
angles (deg): 90.00 90.00 120.00
Positions (direct):
Li 0.333 0.667 0.000
Li 0.667 0.333 0.000
B 0.000 0.328 0.500
B 0.000 0.812 0.000
B 0.188 0.188 0.000
B 0.328 0.000 0.500
B 0.672 0.672 0.500
B 0.812 0.000 0.000
C 0.000 0.635 0.500
C 0.365 0.365 0.500
C 0.635 0.000 0.500

**SG**: P-62m, No. 189
**E_form**: 582 kJ/mol of formula units
**Total energy**: -5.957 eV per atom

Density functional theory data (GGA-PBE) for a relaxed LiB8C8 crystal.

a b c (Å): 4.808 5.527 5.638
angles (deg): 76.34 71.83 90.00
Positions (direct):
Li 0.000 0.000 0.000
B 0.051 0.164 0.344
B 0.055 0.662 0.339
B 0.444 0.584 0.668
B 0.454 0.087 0.656
B 0.546 0.913 0.344
B 0.556 0.416 0.332
B 0.945 0.338 0.661
B 0.949 0.836 0.656
C 0.219 0.914 0.337
C 0.222 0.413 0.344
C 0.279 0.337 0.660
C 0.279 0.834 0.669
C 0.721 0.166 0.331
C 0.721 0.663 0.340
C 0.778 0.587 0.656
C 0.781 0.086 0.663

**SG**: P-1, No. 2
**E_form**: 340 kJ/mol of formula units
**Energy above the most stable polymorph in this dataset**: 27 meV/atom
**Total energy**: -7.388 eV per atom

Density functional theory data (GGA-PBE) for a relaxed LiB8C8 crystal.

a b c (Å): 6.768 2.727 7.272
angles (deg): 90.00 101.70 90.00
Positions (direct):
Li 0.000 0.000 0.000
B 0.050 0.000 0.705
B 0.229 0.500 0.563
B 0.298 0.500 0.973
B 0.475 0.000 0.283
B 0.525 0.000 0.717
B 0.702 0.500 0.027
B 0.771 0.500 0.437
B 0.950 0.000 0.295
C 0.119 0.000 0.487
C 0.122 0.500 0.805
C 0.405 0.000 0.059
C 0.478 0.500 0.603
C 0.522 0.500 0.397
C 0.595 0.000 0.941
C 0.878 0.500 0.195
C 0.881 0.000 0.513

**SG**: P2/m, No. 10
**E_form**: 295 kJ/mol of formula units
**Energy above the most stable polymorph in this dataset**: 0 meV/atom
**Total energy**: -7.415 eV per atom

Density functional theory data (GGA-PBE) for a relaxed Li2B2C crystal.

a b c (Å): 4.154 4.154 5.361
angles (deg): 90.00 90.00 90.00
Positions (direct):
Li 0.000 0.000 0.000
Li 0.000 0.500 0.252
Li 0.500 0.000 0.748
Li 0.500 0.500 0.000
B 0.287 0.500 0.616
B 0.500 0.287 0.384
B 0.500 0.713 0.384
B 0.713 0.500 0.616
C 0.000 0.500 0.796
C 0.500 0.000 0.204

**SG**: P-4m2, No. 115
**E_form**: 57 kJ/mol of formula units
**Total energy**: -5.163 eV per atom

Density functional theory data (GGA-PBE) for a relaxed LiB3C3 crystal.

a b c (Å): 7.093 7.093 8.569
angles (deg): 119.71 119.71 21.96
Positions (direct):
Li 0.000 0.000 0.000
Li 0.500 0.500 0.500
B 0.040 0.040 0.758
B 0.307 0.307 0.280
B 0.369 0.369 0.750
B 0.631 0.631 0.250
B 0.693 0.693 0.720
B 0.960 0.960 0.242
C 0.137 0.137 0.719
C 0.189 0.189 0.256
C 0.485 0.485 0.766
C 0.515 0.515 0.234
C 0.811 0.811 0.744
C 0.863 0.863 0.281

**SG**: C2/m, No. 12
**E_form**: 99 kJ/mol of formula units
**Energy above the most stable polymorph in this dataset**: 98 meV/atom
**Total energy**: -6.942 eV per atom